No. 1
Here is an optimized crystal structure of LaMg2AlHg4 from Alexandria. Energies are from GGA-PBE. Values from VASP.

```
&SYSTEM
  ibrav = 0, nat = 8, ntyp = 4
/
ATOMIC_SPECIES
La 138.91 La.upf
Mg 24.30 Mg.upf
Al 26.98 Al.upf
Hg 200.59 Hg.upf
CELL_PARAMETERS angstrom
2.420 1.397 9.335
-2.420 1.397 9.335
0.000 -2.794 9.335
ATOMIC_POSITIONS crystal
La 0.000 0.000 0.000
Mg 0.240 0.240 0.240
Mg 0.760 0.760 0.760
Al 0.500 0.500 0.500
Hg 0.127 0.127 0.127
Hg 0.392 0.392 0.392
Hg 0.608 0.608 0.608
Hg 0.873 0.873 0.873
```

## Properties
The crystal system is trigonal. As for the total magnetic moment: 0.0 Bohr magnetons per cell. The calculation puts the total energy at -1.895 eV/atom. Its volume is 23.7 A^3/atom. The calculation puts the energy relative to the elements at -2.1 eV/f.u.

No. 2
Here is an optimized crystal structure of SmYHo5Sc2 from Alexandria. Energies are from GGA-PBE. Values from VASP.

```
&SYSTEM
  ibrav = 0, nat = 18, ntyp = 4
/
ATOMIC_SPECIES
Sm 150.36 Sm.upf
Y 88.91 Y.upf
Ho 164.93 Ho.upf
Sc 44.96 Sc.upf
CELL_PARAMETERS angstrom
2.787 -10.734 0.000
2.787 10.734 0.000
0.000 0.000 9.288
ATOMIC_POSITIONS crystal
Sm 0.186 0.814 0.500
Sm 0.814 0.186 0.000
Y 0.403 0.597 0.901
Y 0.597 0.403 0.401
Ho 0.008 0.992 0.500
Ho 0.265 0.735 0.817
Ho 0.308 0.692 0.202
Ho 0.392 0.608 0.528
Ho 0.468 0.532 0.231
Ho 0.532 0.468 0.731
Ho 0.608 0.392 0.028
Ho 0.692 0.308 0.702
Ho 0.735 0.265 0.317
Ho 0.992 0.008 0.000
Sc 0.113 0.887 0.806
Sc 0.140 0.860 0.177
Sc 0.860 0.140 0.677
Sc 0.887 0.113 0.306
```

## Properties
The crystal system is orthorhombic. As for the total magnetic moment: 0.0 Bohr magnetons per cell. The calculation puts the total energy at -5.020 eV/atom. Its volume is 30.9 A^3/atom. The calculation puts the energy relative to the elements at 1.6 eV/f.u.